Entry 1:
Compound: Ti6GaSn3
Source: the Alexandria database
Functional: PBE
Structure: relaxed

abc: 6.807 8.108 8.108
angles: 118.14 90.00 90.00
Fractional coordinates of all 20 atoms:
Ti 0.095 0.782 0.610
Ti 0.595 0.610 0.782
Ti 0.311 0.564 0.014
Ti 0.811 0.014 0.564
Ti 0.321 0.941 0.059
Ti 0.516 0.263 0.737
Ti 0.016 0.737 0.263
Ti 0.821 0.059 0.941
Ti 0.311 0.986 0.436
Ti 0.811 0.436 0.986
Ti 0.095 0.390 0.218
Ti 0.595 0.218 0.390
Ga 0.129 0.180 0.820
Ga 0.629 0.820 0.180
Sn 0.482 0.898 0.704
Sn 0.982 0.704 0.898
Sn 0.244 0.418 0.582
Sn 0.744 0.582 0.418
Sn 0.982 0.102 0.296
Sn 0.482 0.296 0.102

* formation enthalpy at 0 K: -137.9 kJ/mol of formula units
* raw total energy: -6.383 eV/atom

***

Entry 2:
Compound: KCaNi2
Source: the Alexandria database
Functional: PBE
Structure: relaxed

abc: 3.341 3.341 8.915
angles: 90.00 90.00 90.00
Fractional coordinates of all 4 atoms:
Ca 0.000 0.000 0.394
K 0.500 0.500 0.824
Ni 0.000 0.000 0.107
Ni 0.500 0.500 0.174

* formation enthalpy at 0 K: 121.2 kJ/mol of formula units
* raw total energy: -3.351 eV/atom
* relative energy among the computed polymorphs: 192 meV per atom

***

Entry 3:
Compound: TiInW3
Source: the Alexandria database
Functional: PBE
Structure: relaxed

abc: 4.628 4.628 4.628
angles: 90.00 90.00 90.00
Fractional coordinates of all 5 atoms:
Ti 0.000 0.000 0.000
W 0.000 0.500 0.000
W 0.000 0.000 0.500
W 0.500 0.000 0.000
In 0.500 0.500 0.500

* formation enthalpy at 0 K: 845.3 kJ/mol of formula units
* raw total energy: -8.146 eV/atom
* relative energy among the computed polymorphs: 0 meV per atom

***

Entry 4:
Compound: AlFeRh
Source: the Alexandria database
Functional: PBE
Structure: relaxed

abc: 4.134 4.134 2.743
angles: 90.00 90.00 120.00
Fractional coordinates of all 3 atoms:
Rh 0.333 0.667 0.664
Fe 0.667 0.333 0.338
Al 0.000 0.000 0.998

* formation enthalpy at 0 K: -104.7 kJ/mol of formula units
* raw total energy: -6.880 eV/atom
* relative energy among the computed polymorphs: 104 meV per atom

***

Entry 5:
Compound: LiYCdCl6
Source: the Alexandria database
Functional: PBE
Structure: relaxed

abc: 6.692 6.692 11.943
angles: 90.00 90.00 120.00
Fractional coordinates of all 18 atoms:
Li 0.000 0.000 0.000
Li 0.000 0.000 0.500
Y 0.333 0.667 0.250
Y 0.667 0.333 0.750
Cd 0.667 0.333 0.250
Cd 0.333 0.667 0.750
Cl 0.662 0.663 0.126
Cl 0.001 0.338 0.126
Cl 0.338 0.001 0.626
Cl 0.999 0.662 0.874
Cl 0.337 0.338 0.374
Cl 0.001 0.663 0.374
Cl 0.663 0.001 0.874
Cl 0.662 0.999 0.374
Cl 0.999 0.337 0.626
Cl 0.337 0.999 0.126
Cl 0.663 0.662 0.626
Cl 0.338 0.337 0.874

* raw total energy: -4.008 eV/atom
* raw formation energy: -15.70 eV/f.u.

***

Entry 6:
Compound: V4GaH2
Source: the Alexandria database
Functional: PBE
Structure: relaxed

abc: 3.111 5.134 9.684
angles: 90.00 90.00 107.64
Fractional coordinates of all 14 atoms:
V 0.792 0.584 0.091
V 0.792 0.584 0.409
V 0.208 0.416 0.909
V 0.208 0.416 0.591
V 0.872 0.743 0.750
V 0.128 0.257 0.250
V 0.500 0.000 0.000
V 0.500 0.000 0.500
Ga 0.584 0.168 0.750
Ga 0.416 0.832 0.250
H 0.098 0.197 0.442
H 0.902 0.803 0.942
H 0.098 0.197 0.058
H 0.902 0.803 0.558

* raw total energy: -6.718 eV/atom
* relative energy among the computed polymorphs: 0 meV per atom

***

Copy entry 2 word for word.
Compound: KCaNi2
Source: the Alexandria database
Functional: PBE
Structure: relaxed

abc: 3.341 3.341 8.915
angles: 90.00 90.00 90.00
Fractional coordinates of all 4 atoms:
Ca 0.000 0.000 0.394
K 0.500 0.500 0.824
Ni 0.000 0.000 0.107
Ni 0.500 0.500 0.174

* formation enthalpy at 0 K: 121.2 kJ/mol of formula units
* raw total energy: -3.351 eV/atom
* relative energy among the computed polymorphs: 192 meV per atom

***

Repeat the fourth record exactly.
Compound: AlFeRh
Source: the Alexandria database
Functional: PBE
Structure: relaxed

abc: 4.134 4.134 2.743
angles: 90.00 90.00 120.00
Fractional coordinates of all 3 atoms:
Rh 0.333 0.667 0.664
Fe 0.667 0.333 0.338
Al 0.000 0.000 0.998

* formation enthalpy at 0 K: -104.7 kJ/mol of formula units
* raw total energy: -6.880 eV/atom
* relative energy among the computed polymorphs: 104 meV per atom

***

- raw total energy of number 3 (TiInW3)?
  -8.146 eV/atom